[1]
The following is a PBE calculation of crystalline CdInRe2 at its relaxed geometry, from the Alexandria database.

a b c (Å): 3.170 4.633 9.535
angles (deg): 90.00 90.00 90.00
Space group Cmmm (No. 65)
One atom of each set of equivalent atoms:
1 Cd 0.000 0.000 0.000 [2 per cell]
2 In 0.000 0.000 0.500 [2 per cell]
3 Re 0.000 0.500 0.255 [4 per cell]

Calculated values
Mass density ... 14.22 Mg/m³
Electronic total energy ... -51.0 eV/cell
Formation enthalpy at 0 K ... 760.8 meV per atom
E above lowest polymorph ... 529 meV per atom

[2]
The following is a PBE calculation of crystalline CdInRe2 at its relaxed geometry, from the Alexandria database.

a b c (Å): 7.642 7.642 5.357
angles (deg): 90.00 90.00 90.00
Space group I-42d (No. 122)
One atom of each set of equivalent atoms:
1 Cd 0.000 0.000 0.000 [4 per cell]
2 In 0.000 0.000 0.500 [4 per cell]
3 Re 0.243 0.250 0.625 [8 per cell]

Calculated values
Mass density ... 12.73 Mg/m³
Electronic total energy ... -92.5 eV/cell
Formation enthalpy at 0 K ... 1358.7 meV per atom
E above lowest polymorph ... 1126 meV per atom

[3]
The following is a PBE calculation of crystalline CdInRe2 at its relaxed geometry, from the Alexandria database.

a b c (Å): 3.173 4.612 4.770
angles (deg): 90.00 90.00 90.00
Space group Pmmm (No. 47)
One atom of each set of equivalent atoms:
1 Cd 0.000 0.000 0.000 [1 per cell]
2 In 0.500 0.500 0.000 [1 per cell]
3 Re 0.000 0.500 0.500 [1 per cell]
4 Re 0.500 0.000 0.500 [1 per cell]

Calculated values
Mass density ... 14.27 Mg/m³
Electronic total energy ... -25.6 eV/cell
Formation enthalpy at 0 K ... 741.1 meV per atom
E above lowest polymorph ... 509 meV per atom

[4]
The following is a PBE calculation of crystalline Cd2InRe at its relaxed geometry, from the Alexandria database.

a b c (Å): 4.052 4.052 20.630
angles (deg): 90.00 90.00 90.00
Space group I-42d (No. 122)
One atom of each set of equivalent atoms:
1 Cd 0.230 0.250 0.125 [8 per cell]
2 In 0.000 0.000 0.500 [4 per cell]
3 Re 0.000 0.000 0.000 [4 per cell]

Calculated values
Mass density ... 10.31 Mg/m³
Electronic total energy ... -54.9 eV/cell
Formation enthalpy at 0 K ... 821.1 meV per atom

[5]
The following is a PBE calculation of crystalline Cd2InRe at its relaxed geometry, from the Alexandria database.

a b c (Å): 5.808 9.022 2.956
angles (deg): 90.00 90.00 90.00
Space group Cmmm (No. 65)
One atom of each set of equivalent atoms:
1 Cd 0.250 0.250 0.000 [4 per cell]
2 In 0.000 0.000 0.500 [2 per cell]
3 Re 0.000 0.500 0.500 [2 per cell]

Calculated values
Mass density ... 11.27 Mg/m³
Electronic total energy ... -29.5 eV/cell
Formation enthalpy at 0 K ... 566.2 meV per atom

[6]
The following is a PBE calculation of crystalline CdInRe3 at its relaxed geometry, from the Alexandria database.

a b c (Å): 4.868 4.868 4.868
angles (deg): 90.00 90.00 90.00
Space group Pm-3m (No. 221)
One atom of each set of equivalent atoms:
1 Cd 0.000 0.000 0.000 [1 per cell]
2 In 0.500 0.500 0.500 [1 per cell]
3 Re 0.000 0.500 0.500 [3 per cell]

Calculated values
Mass density ... 11.32 Mg/m³
Electronic total energy ... -26.6 eV/cell
Formation enthalpy at 0 K ... 2882.8 meV per atom
E above lowest polymorph ... 0 meV per atom

- Which of these has the lowest electronic total energy?
  number 2

Please write out number 2 again, unchanged.
The following is a PBE calculation of crystalline CdInRe2 at its relaxed geometry, from the Alexandria database.

a b c (Å): 7.642 7.642 5.357
angles (deg): 90.00 90.00 90.00
Space group I-42d (No. 122)
One atom of each set of equivalent atoms:
1 Cd 0.000 0.000 0.000 [4 per cell]
2 In 0.000 0.000 0.500 [4 per cell]
3 Re 0.243 0.250 0.625 [8 per cell]

Calculated values
Mass density ... 12.73 Mg/m³
Electronic total energy ... -92.5 eV/cell
Formation enthalpy at 0 K ... 1358.7 meV per atom
E above lowest polymorph ... 1126 meV per atom